(1)
! FeNiRu2, optimized geometry, DFT PBE; values from VASP
! Crystal system = tetragonal
! D(E_F) = 5.24 states/eV/cell
&SYSTEM
  ibrav = 0, nat = 4, ntyp = 3
/
ATOMIC_SPECIES
Fe 55.84 Fe.upf
Ni 58.69 Ni.upf
Ru 101.07 Ru.upf
CELL_PARAMETERS angstrom
2.657 0.000 0.000
0.000 2.657 0.000
0.000 0.000 7.279
ATOMIC_POSITIONS crystal
Fe 0.000 0.000 0.000
Ni 0.500 0.500 0.231
Ru 0.000 0.000 0.486
Ru 0.500 0.500 0.739

(2)
! CaAlCu, optimized geometry, DFT PBE; values from VASP
! Crystal system = hexagonal
! D(E_F) = 1.48 states/eV/cell
&SYSTEM
  ibrav = 0, nat = 3, ntyp = 3
/
ATOMIC_SPECIES
Ca 40.08 Ca.upf
Al 26.98 Al.upf
Cu 63.55 Cu.upf
CELL_PARAMETERS angstrom
4.387 0.000 0.000
-2.194 3.799 0.000
0.000 0.000 3.873
ATOMIC_POSITIONS crystal
Ca 0.000 0.000 0.000
Al 0.333 0.667 0.500
Cu 0.667 0.333 0.500

no.,calculated total energy (eV per atom)
1,-8.0805
2,-3.4845